{"formula": "Li2NdDy2Si2", "functional": "GGA-PBE", "state": "relaxed", "space_group": "R-3m", "raw_formation_energy_ev_per_atom": -0.398, "lattice_angstrom": [[2.245, 1.296, 8.883], [-2.245, 1.296, 8.883], [0.000, -2.592, 8.883]], "species": ["Li", "Li", "Nd", "Dy", "Dy", "Si", "Si"], "fractional_positions": [[0.094, 0.094, 0.094], [0.906, 0.906, 0.906], [0.500, 0.500, 0.500], [0.371, 0.371, 0.371], [0.629, 0.629, 0.629], [0.241, 0.241, 0.241], [0.759, 0.759, 0.759]]}

=====

{"formula": "LiNdDySi", "functional": "GGA-PBE", "state": "relaxed", "space_group": "F-43m", "raw_formation_energy_ev_per_atom": -0.349, "lattice_angstrom": [[0.000, 3.578, 3.578], [3.578, 0.000, 3.578], [3.578, 3.578, 0.000]], "species": ["Li", "Nd", "Dy", "Si"], "fractional_positions": [[0.000, 0.000, 0.000], [0.250, 0.250, 0.250], [0.750, 0.750, 0.750], [0.500, 0.500, 0.500]]}

=====

Values of theoretical density, in order: 5.8, 6.2, all in Mg/m³.
Values of calculated total energy, in order: -31.4, -18.1, all in eV/cell.
Values of calculated volume, in order: 155.1, 91.6, all in Å³ per cell.